# 1
Density functional theory data (PBE) for a relaxed structure of PuHf2Cu.

Summary:
space group = P4/mmm, No. 123
ΔH_f (0 K) = 0.0090 eV per atom
magnetic moment = 5.04 Bohr magnetons per cell

a b c (Å): 3.1978 3.1978 7.8634
angles (deg): 90.00 90.00 90.00
Last column: nearest neighbours and their distance in Å.
Atoms (fractional coordinates):
1 Hf 0.0000 0.0000 0.7854  4 Cu 2.82
2 Hf 0.0000 0.0000 0.2146  4 Cu 2.82
3 Cu 0.5000 0.5000 0.0000  8 Hf 2.82
4 Pu 0.5000 0.5000 0.5000  8 Hf 3.19, 4 Pu 3.20

=====

# 2
Density functional theory data (PBE) for a relaxed structure of PuHfCu4.

Summary:
space group = F-43m, No. 216
ΔH_f (0 K) = -0.0029 eV per atom
magnetic moment = 5.36 Bohr magnetons per cell

a b c (Å): 5.1211 5.1211 5.1211
angles (deg): 60.00 60.00 60.00
Last column: nearest neighbours and their distance in Å.
Atoms (fractional coordinates):
1 Cu 0.6242 0.6242 0.1274  6 Cu 2.54-2.58
2 Cu 0.1274 0.6242 0.6242  6 Cu 2.54-2.58
3 Cu 0.6242 0.1274 0.6242  6 Cu 2.54-2.58
4 Cu 0.6242 0.6242 0.6242  6 Cu 2.54-2.58
5 Pu 0.0000 0.0000 0.0000  12 Cu 3.00, 4 Hf 3.14
6 Hf 0.2500 0.2500 0.2500  12 Cu 3.00, 4 Pu 3.14

=====

# 3
Density functional theory data (PBE) for a relaxed structure of PuHf2Cu.

Summary:
space group = R3m, No. 160
ΔH_f (0 K) = 0.1749 eV per atom
magnetic moment = 5.19 Bohr magnetons per cell

a b c (Å): 3.1893 3.1893 9.6333
angles (deg): 80.47 80.47 60.00
Last column: nearest neighbours and their distance in Å.
Atoms (fractional coordinates):
1 Hf 0.2598 0.2598 0.2206  3 Cu 2.79
2 Hf 0.0738 0.0738 0.7787  3 Cu 2.78
3 Pu 0.4995 0.4995 0.5016  6 Pu 3.19, 6 Hf 3.20-3.23
4 Cu 0.6670 0.6670 0.9991  6 Hf 2.78-2.79

=====

# 4
Density functional theory data (PBE) for a relaxed structure of Pu2HfCu.

Summary:
space group = P4/mmm, No. 123
ΔH_f (0 K) = 0.1610 eV per atom
magnetic moment = 10.66 Bohr magnetons per cell

a b c (Å): 3.1434 3.1434 8.8759
angles (deg): 90.00 90.00 90.00
Last column: nearest neighbours and their distance in Å.
Atoms (fractional coordinates):
1 Pu 0.0000 0.0000 0.7699  4 Cu 3.02, 4 Pu 3.14, 4 Hf 3.27
2 Pu 0.0000 0.0000 0.2301  4 Cu 3.02, 4 Pu 3.14, 4 Hf 3.27
3 Hf 0.5000 0.5000 0.5000  4 Hf 3.14, 8 Pu 3.27
4 Cu 0.5000 0.5000 0.0000  8 Pu 3.02, 4 Cu 3.14

=====

# 5
Density functional theory data (PBE) for a relaxed structure of PuHfCu2.

Summary:
space group = P4/mmm, No. 123
ΔH_f (0 K) = -0.0154 eV per atom
magnetic moment = 5.65 Bohr magnetons per cell

a b c (Å): 3.2382 3.2382 7.1293
angles (deg): 90.00 90.00 90.00
Last column: nearest neighbours and their distance in Å.
Atoms (fractional coordinates):
1 Cu 0.0000 0.0000 0.7902  4 Hf 2.73, 1 Cu 2.99
2 Cu 0.0000 0.0000 0.2098  4 Hf 2.73, 1 Cu 2.99
3 Pu 0.5000 0.5000 0.5000  8 Cu 3.09, 4 Pu 3.24
4 Hf 0.5000 0.5000 0.0000  8 Cu 2.73

=====

# 6
Density functional theory data (PBE) for a relaxed structure of PuHf2Cu.

Summary:
space group = P4/mmm, No. 123
ΔH_f (0 K) = 0.1201 eV per atom
magnetic moment = 5.17 Bohr magnetons per cell

a b c (Å): 3.1975 4.9502 4.9502
angles (deg): 90.00 90.00 90.00
Last column: nearest neighbours and their distance in Å.
Atoms (fractional coordinates):
1 Hf 0.0000 0.5000 0.0000  4 Cu 2.95, 4 Pu 2.95, 2 Hf 3.20
2 Hf 0.0000 0.0000 0.5000  4 Cu 2.95, 4 Pu 2.95, 2 Hf 3.20
3 Pu 0.5000 0.5000 0.5000  8 Hf 2.95, 2 Pu 3.20
4 Cu 0.5000 0.0000 0.0000  8 Hf 2.95, 2 Cu 3.20